Ba2V3RuO12 (GGA+U, relaxed); total DFT energy (no corrections) = -7.15 eV per atom; Fermi-level density of states = 1.88 states/eV/cell; ρ = 4.8 g/cm³; space-group type = R-3m (166)
1.0
7.0765 0.0575 0.0408
3.5448 6.1249 0.0408
3.5448 2.0633 5.7671
O Ba V Ru
12 2 3 1
Direct
0.6675 0.0770 0.0770
0.0770 0.6675 0.0770
0.6867 0.0706 0.6867
0.0706 0.6867 0.6867
0.3325 0.9230 0.9230
0.9294 0.3133 0.3133
0.3133 0.3133 0.9294
0.9230 0.9230 0.3325
0.9230 0.3325 0.9230
0.0770 0.0770 0.6675
0.6867 0.6867 0.0706
0.3133 0.9294 0.3133
0.3771 0.3771 0.3771
0.6229 0.6229 0.6229
0.0000 0.5000 0.0000
0.5000 0.0000 0.0000
0.0000 0.0000 0.5000
0.0000 0.0000 0.0000